A plane-wave DFT calculation with PBE was carried out for crystalline Al2RuCl at its relaxed geometry.

Geometry as POSCAR:
```
Al2RuCl
1.0
2.935 0.000 0.000
0.000 4.514 0.000
0.000 0.000 4.749
Al Ru Cl
2 1 1
Direct
0.000 0.000 0.000
0.500 0.500 0.000
0.000 0.500 0.500
0.500 0.000 0.500
```

- Polymorph energy (0 for the lowest one): 3.65 eV/f.u.
- Symmetry: Pmmm

***

A plane-wave DFT calculation with PBE was carried out for crystalline RhSeN2Cl at its relaxed geometry.

Geometry as POSCAR:
```
RhSeN2Cl
1.0
3.794 0.000 0.000
0.000 3.794 0.000
0.000 0.000 5.620
Rh Se N Cl
1 1 2 1
Direct
0.000 0.000 0.000
0.000 0.000 0.500
0.000 0.500 0.000
0.500 0.000 0.000
0.500 0.500 0.500
```

- Polymorph energy (0 for the lowest one): 0.00 eV/f.u.
- Symmetry: P4/mmm

***

A plane-wave DFT calculation with PBE was carried out for crystalline Mg4InAu5 at its relaxed geometry.

Geometry as POSCAR:
```
Mg4InAu5
1.0
3.369 0.000 0.000
0.000 3.369 0.000
0.000 0.000 16.416
Mg In Au
4 1 5
Direct
0.000 0.000 0.097
0.000 0.000 0.291
0.000 0.000 0.709
0.000 0.000 0.903
0.000 0.000 0.500
0.500 0.500 0.000
0.500 0.500 0.194
0.500 0.500 0.384
0.500 0.500 0.616
0.500 0.500 0.806
```

- Symmetry: P4/mmm

***

A plane-wave DFT calculation with PBE was carried out for crystalline LaTlHPb2 at its relaxed geometry.

Geometry as POSCAR:
```
LaTlHPb2
1.0
5.087 0.000 0.000
0.000 5.087 0.000
0.000 0.000 4.813
La Tl H Pb
1 1 1 2
Direct
0.000 0.000 0.000
0.500 0.500 0.000
0.000 0.000 0.500
0.000 0.500 0.500
0.500 0.000 0.500
```

- Symmetry: P4/mmm

***

A plane-wave DFT calculation with PBE was carried out for crystalline CuNi2Ir at its relaxed geometry.

Geometry as POSCAR:
```
CuNi2Ir
1.0
-1.768 1.768 8.456
1.768 -1.768 8.456
1.768 1.768 -8.456
Cu Ni Ir
2 4 2
Direct
0.000 0.000 0.000
0.750 0.250 0.500
0.127 0.625 0.002
0.375 0.377 0.502
0.623 0.125 0.998
0.875 0.873 0.498
0.250 0.750 0.500
0.500 0.500 0.000
```

- Symmetry: I-42d

***

A plane-wave DFT calculation with PBE was carried out for crystalline Tb2Ho3Pd3 at its relaxed geometry.

Geometry as POSCAR:
```
Tb2Ho3Pd3
1.0
-1.772 2.574 10.485
1.772 -2.574 10.485
1.772 2.574 -10.485
Tb Ho Pd
2 3 3
Direct
0.226 0.226 0.000
0.774 0.774 0.000
0.000 0.000 0.000
0.385 0.885 0.500
0.615 0.115 0.500
0.114 0.614 0.500
0.500 0.500 0.000
0.886 0.386 0.500
```

- Symmetry: Immm

***

Record-wise final energy values, in eV/atom: -4.3587, -4.7964, -3.0698, -3.8487, -5.6441, -5.4578